[1]
Crystalline Tb6CuSe5 at its relaxed geometry, computed with GGA-PBE. Values from VASP.

Cell and atoms, written as Quantum ESPRESSO input:
```
&SYSTEM
  ibrav = 0, nat = 12, ntyp = 3
/
ATOMIC_SPECIES
Se 78.96 Se.upf
Cu 63.55 Cu.upf
Tb 158.93 Tb.upf
ATOMIC_POSITIONS angstrom
Se 5.180 1.050 2.228
Se -1.838 4.956 2.228
Se 3.378 1.896 -1.318
Se 1.671 3.003 2.228
Se -0.169 3.870 -1.318
Cu 0.000 0.000 0.000
Tb 4.267 3.599 3.382
Tb -0.925 2.406 1.074
Tb 2.472 4.442 -0.270
Tb 0.809 5.523 3.382
Tb 0.870 1.564 4.725
Tb 2.533 0.482 1.074
CELL_PARAMETERS angstrom
6.975 -0.105 -1.318
-3.765 5.872 -1.318
0.133 0.239 7.091
```

Calculated values
**E**: -5.652 eV per atom
**Uncorrected formation energy**: -18.529 eV per formula unit

=====

[2]
Crystalline TbCuSe2 at its relaxed geometry, computed with GGA-PBE. Values from VASP.

Cell and atoms, written as Quantum ESPRESSO input:
```
&SYSTEM
  ibrav = 0, nat = 16, ntyp = 3
/
ATOMIC_SPECIES
Se 78.96 Se.upf
Tb 158.93 Tb.upf
Cu 63.55 Cu.upf
ATOMIC_POSITIONS angstrom
Se 2.470 1.563 0.821
Se 6.140 0.068 2.024
Se 3.342 5.557 6.526
Se -0.328 7.052 5.323
Se 0.075 3.518 5.697
Se 2.068 5.097 2.852
Se 3.745 2.023 4.494
Se 5.738 3.602 1.650
Tb 1.055 2.121 3.365
Tb 0.653 5.654 0.308
Tb 5.160 1.465 7.038
Tb 4.758 4.999 3.981
Cu 2.458 3.240 6.177
Cu 3.355 3.880 1.170
Cu 2.055 6.774 4.843
Cu 3.757 0.346 2.504
CELL_PARAMETERS angstrom
6.617 0.052 0.000
-0.804 7.068 0.000
0.000 0.000 7.346
```

Calculated values
**E**: -5.149 eV per atom
**Uncorrected formation energy**: -4.900 eV per formula unit

=====

[3]
Crystalline Tb3CuSe2 at its relaxed geometry, computed with GGA-PBE. Values from VASP.

Cell and atoms, written as Quantum ESPRESSO input:
```
&SYSTEM
  ibrav = 0, nat = 12, ntyp = 3
/
ATOMIC_SPECIES
Cu 63.55 Cu.upf
Se 78.96 Se.upf
Tb 158.93 Tb.upf
ATOMIC_POSITIONS angstrom
Cu -1.527 1.069 3.573
Cu 8.390 -3.092 2.210
Se 0.873 4.454 3.585
Se 0.173 -2.565 3.111
Se 4.261 -2.785 2.666
Se 2.601 0.761 3.116
Tb 4.579 2.002 1.337
Tb 0.556 -0.335 4.915
Tb 0.405 2.183 1.797
Tb 3.068 3.035 4.905
Tb 4.753 -0.597 4.495
Tb 2.109 -1.427 1.287
CELL_PARAMETERS angstrom
-3.238 4.723 4.037
1.878 -6.209 2.648
6.517 3.106 -0.440
```

Calculated values
**E**: -5.401 eV per atom
**Uncorrected formation energy**: -7.447 eV per formula unit

=====

[4]
Crystalline TbCuSe2 at its relaxed geometry, computed with GGA-PBE. Values from VASP.

Cell and atoms, written as Quantum ESPRESSO input:
```
&SYSTEM
  ibrav = 0, nat = 4, ntyp = 3
/
ATOMIC_SPECIES
Se 78.96 Se.upf
Cu 63.55 Cu.upf
Tb 158.93 Tb.upf
ATOMIC_POSITIONS angstrom
Se 2.038 1.177 6.002
Se 2.038 1.177 2.295
Cu 6.114 3.530 5.954
Tb 4.076 2.353 3.802
CELL_PARAMETERS angstrom
4.076 0.000 0.000
2.038 3.530 0.000
2.038 1.177 7.221
```

Calculated values
**E**: -4.976 eV per atom
**Uncorrected formation energy**: -4.207 eV per formula unit

=====

[5]
Crystalline Tb5CuSe4 at its relaxed geometry, computed with GGA-PBE. Values from VASP.

Cell and atoms, written as Quantum ESPRESSO input:
```
&SYSTEM
  ibrav = 0, nat = 10, ntyp = 3
/
ATOMIC_SPECIES
Tb 158.93 Tb.upf
Cu 63.55 Cu.upf
Se 78.96 Se.upf
ATOMIC_POSITIONS angstrom
Tb 2.624 0.000 1.265
Tb 2.085 3.936 2.382
Tb 3.531 5.217 6.073
Tb 4.146 1.239 4.798
Tb 5.592 2.521 8.490
Cu 0.007 0.000 0.003
Se 4.654 3.879 3.743
Se 6.173 5.107 7.284
Se 3.022 2.577 7.128
Se 1.503 1.349 3.587
CELL_PARAMETERS angstrom
5.236 0.000 2.525
2.618 6.457 1.263
-0.187 0.000 7.078
```

Calculated values
**E**: -5.603 eV per atom
**Uncorrected formation energy**: -14.846 eV per formula unit

=====

[6]
Crystalline TbCuSe2 at its relaxed geometry, computed with GGA-PBE. Values from VASP.

Cell and atoms, written as Quantum ESPRESSO input:
```
&SYSTEM
  ibrav = 0, nat = 4, ntyp = 3
/
ATOMIC_SPECIES
Se 78.96 Se.upf
Cu 63.55 Cu.upf
Tb 158.93 Tb.upf
ATOMIC_POSITIONS angstrom
Se 2.057 1.187 1.525
Se 0.000 2.375 4.823
Cu 0.000 2.375 0.836
Tb 0.000 0.000 3.289
CELL_PARAMETERS angstrom
4.114 0.000 0.000
-2.057 3.562 0.000
0.000 0.000 6.441
```

Calculated values
**E**: -5.145 eV per atom
**Uncorrected formation energy**: -4.886 eV per formula unit